w:
Below is CePmOs2 after structural relaxation, with properties calculated at the PBE level.

Cell lengths 6.535, 6.535, 6.548 Å; angles 90.00, 90.00, 139.07 degrees
Fractional positions:
Ce: 0.228 0.772 0.750
Ce: 0.772 0.228 0.250
Pm: 0.063 0.937 0.250
Pm: 0.937 0.063 0.750
Os: 0.402 0.598 0.059
Os: 0.402 0.598 0.441
Os: 0.598 0.402 0.559
Os: 0.598 0.402 0.941



x:
Below is CePmOs2 after structural relaxation, with properties calculated at the PBE level.

Cell lengths 4.929, 4.929, 4.929 Å; angles 60.00, 60.00, 60.00 degrees
Fractional positions:
Ce: 0.000 0.000 0.000
Pm: 0.500 0.500 0.500
Os: 0.250 0.250 0.250
Os: 0.750 0.750 0.750



It is w that is the most stable of them.



w:
Below is Ce3PmOs after structural relaxation, with properties calculated at the PBE level.

Cell lengths 7.294, 7.294, 6.026 Å; angles 90.00, 90.00, 120.05 degrees
Fractional positions:
Ce: 0.186 0.814 0.750
Ce: 0.187 0.373 0.750
Ce: 0.373 0.187 0.250
Ce: 0.627 0.813 0.750
Ce: 0.813 0.627 0.250
Ce: 0.814 0.186 0.250
Pm: 0.333 0.667 0.250
Pm: 0.667 0.333 0.750
Os: 0.000 0.000 0.000
Os: 0.000 0.000 0.500



x:
Below is Ce3PmOs after structural relaxation, with properties calculated at the PBE level.

Cell lengths 5.468, 5.468, 5.468 Å; angles 90.00, 90.00, 90.00 degrees
Fractional positions:
Ce: 0.000 0.000 0.500
Ce: 0.000 0.500 0.000
Ce: 0.500 0.000 0.000
Pm: 0.500 0.500 0.500
Os: 0.000 0.000 0.000



It is w that is the most stable of them.



w:
Below is CePr2Os after structural relaxation, with properties calculated at the PBE level.

Cell lengths 11.166, 11.166, 11.166 Å; angles 18.15, 18.15, 18.15 degrees
Fractional positions:
Ce: 0.000 0.000 0.000
Pr: 0.104 0.104 0.104
Pr: 0.896 0.896 0.896
Os: 0.500 0.500 0.500



x:
Below is CePr2Os after structural relaxation, with properties calculated at the PBE level.

Cell lengths 7.284, 9.975, 6.558 Å; angles 90.00, 90.00, 90.00 degrees
Fractional positions:
Ce: 0.055 0.250 0.164
Ce: 0.445 0.750 0.664
Ce: 0.555 0.250 0.336
Ce: 0.945 0.750 0.836
Pr: 0.169 0.066 0.676
Pr: 0.169 0.434 0.676
Pr: 0.331 0.566 0.176
Pr: 0.331 0.934 0.176
Pr: 0.669 0.066 0.824
Pr: 0.669 0.434 0.824
Pr: 0.831 0.566 0.324
Pr: 0.831 0.934 0.324
Os: 0.131 0.750 0.491
Os: 0.369 0.250 0.991
Os: 0.631 0.750 0.009
Os: 0.869 0.250 0.509



It is x that is the most stable of them.



w:
Below is Ce5Os2Pt after structural relaxation, with properties calculated at the PBE level.

Cell lengths 8.211, 8.211, 8.211 Å; angles 123.21, 123.21, 84.53 degrees
Fractional positions:
Ce: 0.000 0.000 0.000
Ce: 0.016 0.516 0.829
Ce: 0.188 0.016 0.500
Ce: 0.312 0.812 0.829
Ce: 0.484 0.312 0.500
Ce: 0.500 0.500 0.000
Ce: 0.516 0.688 0.500
Ce: 0.688 0.188 0.171
Ce: 0.812 0.984 0.500
Ce: 0.984 0.484 0.171
Os: 0.134 0.366 0.500
Os: 0.366 0.866 0.232
Os: 0.634 0.134 0.768
Os: 0.866 0.634 0.500
Pt: 0.250 0.250 0.000
Pt: 0.750 0.750 0.000



x:
Below is Ce5Os2Pt after structural relaxation, with properties calculated at the PBE level.

Cell lengths 6.864, 6.864, 13.787 Å; angles 90.00, 90.00, 131.91 degrees
Fractional positions:
Ce: 0.051 0.949 0.619
Ce: 0.051 0.949 0.881
Ce: 0.243 0.757 0.250
Ce: 0.342 0.658 0.559
Ce: 0.342 0.658 0.941
Ce: 0.658 0.342 0.059
Ce: 0.658 0.342 0.441
Ce: 0.757 0.243 0.750
Ce: 0.949 0.051 0.119
Ce: 0.949 0.051 0.381
Os: 0.151 0.849 0.059
Os: 0.151 0.849 0.441
Os: 0.849 0.151 0.559
Os: 0.849 0.151 0.941
Pt: 0.231 0.769 0.750
Pt: 0.769 0.231 0.250



It is w that is the most stable of them.



w:
Below is Ce8OsPt2 after structural relaxation, with properties calculated at the PBE level.

Cell lengths 7.639, 7.639, 5.684 Å; angles 100.64, 100.64, 116.92 degrees
Fractional positions:
Ce: 0.086 0.291 0.586
Ce: 0.216 0.784 0.000
Ce: 0.291 0.086 0.586
Ce: 0.366 0.366 0.165
Ce: 0.634 0.634 0.835
Ce: 0.709 0.914 0.414
Ce: 0.784 0.216 0.000
Ce: 0.914 0.709 0.414
Os: 0.000 0.000 0.000
Pt: 0.309 0.691 0.500
Pt: 0.691 0.309 0.500



x:
Below is Ce8OsPt2 after structural relaxation, with properties calculated at the PBE level.

Cell lengths 9.249, 9.249, 6.569 Å; angles 99.45, 99.45, 28.79 degrees
Fractional positions:
Ce: 0.007 0.007 0.252
Ce: 0.221 0.221 0.251
Ce: 0.342 0.342 0.014
Ce: 0.410 0.410 0.547
Ce: 0.590 0.590 0.453
Ce: 0.658 0.658 0.986
Ce: 0.779 0.779 0.749
Ce: 0.993 0.993 0.748
Os: 0.500 0.500 0.000
Pt: 0.166 0.166 0.681
Pt: 0.834 0.834 0.319



It is x that is the most stable of them.



w:
Below is CeThOsPt after structural relaxation, with properties calculated at the PBE level.

Cell lengths 5.027, 5.027, 5.027 Å; angles 60.00, 60.00, 60.00 degrees
Fractional positions:
Ce: 0.000 0.000 0.000
Th: 0.500 0.500 0.500
Os: 0.250 0.250 0.250
Pt: 0.750 0.750 0.750



x:
Below is CeThOsPt after structural relaxation, with properties calculated at the PBE level.

Cell lengths 4.127, 4.127, 5.761 Å; angles 90.00, 90.00, 90.00 degrees
Fractional positions:
Ce: 0.000 0.000 0.000
Th: 0.500 0.500 0.499
Os: 0.000 0.000 0.499
Pt: 0.500 0.500 0.999



It is x that is the most stable of them.



w:
Below is Ce12PuOs7 after structural relaxation, with properties calculated at the PBE level.

Cell lengths 8.325, 8.325, 8.325 Å; angles 108.79, 108.79, 108.79 degrees
Fractional positions:
Ce: 0.105 0.416 0.204
Ce: 0.147 0.359 0.847
Ce: 0.153 0.853 0.641
Ce: 0.204 0.105 0.416
Ce: 0.359 0.847 0.147
Ce: 0.416 0.204 0.105
Ce: 0.584 0.796 0.895
Ce: 0.641 0.153 0.853
Ce: 0.796 0.895 0.584
Ce: 0.847 0.147 0.359
Ce: 0.853 0.641 0.153
Ce: 0.895 0.584 0.796
Pu: 0.500 0.500 0.500
Os: 0.000 0.000 0.000
Os: 0.180 0.490 0.589
Os: 0.411 0.820 0.510
Os: 0.490 0.589 0.180
Os: 0.510 0.411 0.820
Os: 0.589 0.180 0.490
Os: 0.820 0.510 0.411



x:
Below is Ce12PuOs7 after structural relaxation, with properties calculated at the PBE level.

Cell lengths 8.779, 8.779, 8.779 Å; angles 106.92, 106.92, 106.92 degrees
Fractional positions:
Ce: 0.037 0.123 0.343
Ce: 0.123 0.343 0.037
Ce: 0.185 0.575 0.724
Ce: 0.276 0.815 0.425
Ce: 0.343 0.037 0.123
Ce: 0.425 0.276 0.815
Ce: 0.575 0.724 0.185
Ce: 0.657 0.963 0.877
Ce: 0.724 0.185 0.575
Ce: 0.815 0.425 0.276
Ce: 0.877 0.657 0.963
Ce: 0.963 0.877 0.657
Pu: 0.500 0.500 0.500
Os: 0.000 0.000 0.000
Os: 0.146 0.479 0.370
Os: 0.370 0.146 0.479
Os: 0.479 0.370 0.146
Os: 0.521 0.630 0.854
Os: 0.630 0.854 0.521
Os: 0.854 0.521 0.630



It is w that is the most stable of them.



w:
Below is Ce8Pu2Os after structural relaxation, with properties calculated at the PBE level.

Cell lengths 8.606, 8.606, 6.836 Å; angles 111.72, 111.72, 36.90 degrees
Fractional positions:
Ce: 0.027 0.027 0.288
Ce: 0.196 0.196 0.805
Ce: 0.329 0.329 0.522
Ce: 0.401 0.401 0.067
Ce: 0.599 0.599 0.933
Ce: 0.671 0.671 0.478
Ce: 0.804 0.804 0.195
Ce: 0.973 0.973 0.712
Pu: 0.168 0.168 0.173
Pu: 0.832 0.832 0.827
Os: 0.500 0.500 0.500



x:
Below is Ce8Pu2Os after structural relaxation, with properties calculated at the PBE level.

Cell lengths 6.906, 6.906, 6.699 Å; angles 108.88, 108.88, 87.07 degrees
Fractional positions:
Ce: 0.033 0.033 0.268
Ce: 0.160 0.539 0.291
Ce: 0.364 0.349 0.743
Ce: 0.461 0.840 0.709
Ce: 0.511 0.122 0.256
Ce: 0.651 0.636 0.257
Ce: 0.878 0.489 0.744
Ce: 0.967 0.967 0.732
Pu: 0.197 0.685 0.807
Pu: 0.315 0.803 0.193
Os: 0.749 0.251 0.000



It is x that is the most stable of them.



w:
Below is Ce2PuOs after structural relaxation, with properties calculated at the PBE level.

Cell lengths 5.017, 5.017, 5.017 Å; angles 60.00, 60.00, 60.00 degrees
Fractional positions:
Ce: 0.250 0.250 0.250
Ce: 0.750 0.750 0.750
Pu: 0.000 0.000 0.000
Os: 0.500 0.500 0.500



x:
Below is Ce2PuOs after structural relaxation, with properties calculated at the PBE level.

Cell lengths 6.460, 6.460, 6.460 Å; angles 40.20, 40.20, 40.20 degrees
Fractional positions:
Ce: 0.000 0.000 0.000
Ce: 0.199 0.199 0.199
Pu: 0.411 0.411 0.411
Os: 0.605 0.605 0.605



It is w that is the most stable of them.



w:
Below is Ce2PuOs after structural relaxation, with properties calculated at the PBE level.

Cell lengths 3.381, 3.381, 8.103 Å; angles 90.00, 90.00, 90.00 degrees
Fractional positions:
Ce: 0.000 0.000 0.220
Ce: 0.000 0.000 0.780
Pu: 0.500 0.500 0.500
Os: 0.500 0.500 0.000



x:
Below is Ce2PuOs after structural relaxation, with properties calculated at the PBE level.

Cell lengths 5.796, 5.796, 6.358 Å; angles 104.55, 104.55, 112.87 degrees
Fractional positions:
Ce: 0.234 0.766 0.000
Ce: 0.247 0.247 0.740
Ce: 0.753 0.753 0.260
Ce: 0.766 0.234 0.000
Pu: 0.262 0.738 0.500
Pu: 0.738 0.262 0.500
Os: 0.259 0.259 0.257
Os: 0.741 0.741 0.743



It is x that is the most stable of them.



w:
Below is Ce6Os2Rh after structural relaxation, with properties calculated at the PBE level.

Cell lengths 6.360, 7.248, 11.413 Å; angles 90.00, 121.92, 90.00 degrees
Fractional positions:
Ce: 0.078 0.190 0.430
Ce: 0.078 0.310 0.930
Ce: 0.284 0.649 0.443
Ce: 0.284 0.851 0.943
Ce: 0.395 0.053 0.236
Ce: 0.395 0.447 0.736
Ce: 0.605 0.553 0.264
Ce: 0.605 0.947 0.764
Ce: 0.716 0.149 0.057
Ce: 0.716 0.351 0.557
Ce: 0.922 0.690 0.070
Ce: 0.922 0.810 0.570
Os: 0.168 0.120 0.726
Os: 0.168 0.380 0.226
Os: 0.832 0.620 0.774
Os: 0.832 0.880 0.274
Rh: 0.500 0.000 0.500
Rh: 0.500 0.500 0.000



x:
Below is Ce6Os2Rh after structural relaxation, with properties calculated at the PBE level.

Cell lengths 5.633, 5.633, 8.726 Å; angles 100.47, 100.47, 49.95 degrees
Fractional positions:
Ce: 0.054 0.054 0.330
Ce: 0.318 0.318 0.921
Ce: 0.388 0.388 0.333
Ce: 0.612 0.612 0.667
Ce: 0.682 0.682 0.079
Ce: 0.946 0.946 0.670
Os: 0.272 0.272 0.621
Os: 0.728 0.728 0.379
Rh: 0.000 0.000 0.000



It is x that is the most stable of them.